[1]
The following is a DFT calculation (PBE-GGA) of a relaxed structure of Cd2BMoI.

formation energy from raw total energies	2.095	eV per atom
N(E_F)	3.8	states/eV/f.u.

Cell: 5.850 5.850 4.529 Å, 90.00 90.00 90.00°
Space group P4/mmm (No. 123)
Unique sites:
Cd1 0.000 0.500 0.000 [2 per cell]
B1 0.000 0.000 0.500 [1 per cell]
Mo1 0.500 0.500 0.500 [1 per cell]
I1 0.000 0.000 0.000 [1 per cell]

[2]
The following is a DFT calculation (PBE-GGA) of a relaxed structure of PbCl.

formation energy from raw total energies	-0.219	eV per atom
N(E_F)	2.4	states/eV/f.u.

Cell: 6.882 6.882 6.882 Å, 90.00 90.00 90.00°
Space group F-43m (No. 216)
Unique sites:
Pb1 0.000 0.000 0.000 [4 per cell]
Cl1 0.250 0.250 0.250 [4 per cell]